Entry 1:
## TmLu2Sn (PBE)

Data for a relaxed TmLu2Sn crystal.

For the formation energy, the calculation gives -1.5 eV/f.u. The energy is -4.755 eV/atom. The value obtained for the total magnetization is 0.53 μB/f.u. Its polymorph energy (0 for the lowest one) is 0.0 kJ/mol of formula units.

a b c (Å): 4.7298 4.7298 4.7275
angles (deg): 90.00 90.00 90.00
Last column: nearest neighbours and their distance in Å.
Space group P4/mmm (No. 123)
Asymmetric unit:
Tm 0.0000 0.0000 0.0000 x1  8 Lu 3.34, 4 Sn 3.34
Lu 0.0000 0.5000 0.5000 x2  4 Sn 3.34, 4 Tm 3.34, 4 Lu 3.34
Sn 0.5000 0.5000 0.0000 x1  8 Lu 3.34, 4 Tm 3.34

=====

Entry 2:
## TmLu2Sn (PBE)

Data for a relaxed TmLu2Sn crystal.

For the formation energy, the calculation gives -1.2 eV/f.u. The energy is -4.674 eV/atom. The value obtained for the total magnetization is 0.00 μB/f.u. Its polymorph energy (0 for the lowest one) is 31.3 kJ/mol of formula units.

a b c (Å): 3.5395 3.5395 8.8897
angles (deg): 90.00 90.00 90.00
Last column: nearest neighbours and their distance in Å.
Space group P4/mmm (No. 123)
Asymmetric unit:
Tm 0.0000 0.0000 0.0000 x1  8 Lu 3.45, 4 Tm 3.54
Lu 0.5000 0.5000 0.2676 x2  4 Sn 3.25, 4 Tm 3.45, 4 Lu 3.54
Sn 0.0000 0.0000 0.5000 x1  8 Lu 3.25, 4 Sn 3.54

=====

Entry 3:
## Tm2LuSn (PBE)

Data for a relaxed Tm2LuSn crystal.

For the formation energy, the calculation gives -1.5 eV/f.u. The energy is -4.750 eV/atom. The value obtained for the total magnetization is 0.51 μB/f.u. Its polymorph energy (0 for the lowest one) is 0.0 kJ/mol of formula units.

a b c (Å): 4.7363 4.7363 4.7432
angles (deg): 90.00 90.00 90.00
Last column: nearest neighbours and their distance in Å.
Space group P4/mmm (No. 123)
Asymmetric unit:
Tm 0.0000 0.5000 0.0000 x2  4 Tm 3.35, 4 Sn 3.35, 4 Lu 3.35
Lu 0.0000 0.0000 0.5000 x1  4 Sn 3.35, 8 Tm 3.35
Sn 0.5000 0.5000 0.5000 x1  4 Lu 3.35, 8 Tm 3.35

=====

Entry 4:
## TmLuSn2 (PBE)

Data for a relaxed TmLuSn2 crystal.

For the formation energy, the calculation gives -2.2 eV/f.u. The energy is -4.797 eV/atom. The value obtained for the total magnetization is 0.00 μB/f.u. Its polymorph energy (0 for the lowest one) is 4.6 kJ/mol of formula units.

a b c (Å): 4.8878 4.8878 4.2932
angles (deg): 90.00 90.00 90.00
Last column: nearest neighbours and their distance in Å.
Space group P4/mmm (No. 123)
Asymmetric unit:
Tm 0.0000 0.0000 0.0000 x1  8 Sn 3.25, 4 Lu 3.46
Lu 0.5000 0.5000 0.0000 x1  8 Sn 3.25, 4 Tm 3.46
Sn 0.0000 0.5000 0.5000 x2  4 Tm 3.25, 4 Lu 3.25, 4 Sn 3.46

=====

Entry 5:
## TmLu2Sn (PBE)

Data for a relaxed TmLu2Sn crystal.

For the formation energy, the calculation gives 0.2 eV/f.u. The energy is -4.328 eV/atom. The value obtained for the total magnetization is 0.76 μB/f.u. Its polymorph energy (0 for the lowest one) is 164.7 kJ/mol of formula units.

a b c (Å): 3.4179 3.4179 34.8003
angles (deg): 90.00 90.00 120.00
Last column: nearest neighbours and their distance in Å.
Space group R-3m (No. 166, hexagonal axes)
Asymmetric unit:
Tm 0.0000 0.0000 0.0000 x3  2 Lu 3.30, 6 Tm 3.42
Lu 0.0000 0.0000 0.0948 x6  3 Sn 3.18, 1 Tm 3.30, 6 Lu 3.42
Sn 0.0000 0.0000 0.5000 x3  6 Lu 3.18, 6 Sn 3.42

=====

Entry 6:
## LuUSn2 (PBE)

Data for a relaxed LuUSn2 crystal.

For the formation energy, the calculation gives -0.9 eV/f.u. The energy is -6.187 eV/atom. The value obtained for the total magnetization is 2.81 μB/f.u. Its polymorph energy (0 for the lowest one) is 0.0 kJ/mol of formula units.

a b c (Å): 3.3196 3.3196 9.1181
angles (deg): 90.00 90.00 90.00
Last column: nearest neighbours and their distance in Å.
Space group P4/mmm (No. 123)
Asymmetric unit:
Lu 0.0000 0.0000 0.0000 x1  8 Sn 3.24, 4 Lu 3.32
U 0.0000 0.0000 0.5000 x1  8 Sn 3.31, 4 U 3.32
Sn 0.5000 0.5000 0.2443 x2  4 Lu 3.24, 4 U 3.31, 4 Sn 3.32

=====

Entry 7:
## LuUSn2 (PBE)

Data for a relaxed LuUSn2 crystal.

For the formation energy, the calculation gives -0.9 eV/f.u. The energy is -6.167 eV/atom. The value obtained for the total magnetization is 3.03 μB/f.u. Its polymorph energy (0 for the lowest one) is 7.8 kJ/mol of formula units.

a b c (Å): 4.9013 4.9013 4.2692
angles (deg): 90.00 90.00 90.00
Last column: nearest neighbours and their distance in Å.
Space group P4/mmm (No. 123)
Asymmetric unit:
Lu 0.0000 0.0000 0.0000 x1  8 Sn 3.25, 4 U 3.47
U 0.5000 0.5000 0.0000 x1  8 Sn 3.25, 4 Lu 3.47
Sn 0.0000 0.5000 0.5000 x2  4 U 3.25, 4 Lu 3.25, 4 Sn 3.47

=====

Entry 8:
## LuVSn2 (PBE)

Data for a relaxed LuVSn2 crystal.

For the formation energy, the calculation gives 1.0 eV/f.u. The energy is -5.152 eV/atom. The value obtained for the total magnetization is 0.54 μB/f.u.

a b c (Å): 3.2456 3.2456 31.7169
angles (deg): 90.00 90.00 120.00
Last column: nearest neighbours and their distance in Å.
Space group R-3m (No. 166, hexagonal axes)
Asymmetric unit:
Lu 0.0000 0.0000 0.0000 x3  2 Sn 3.12, 6 Lu 3.25
V 0.0000 0.0000 0.5000 x3  6 Sn 2.86
Sn 0.0000 0.0000 0.0983 x6  3 V 2.86, 1 Lu 3.12

=====

Entry 9:
## YLuSn2 (PBE)

Data for a relaxed YLuSn2 crystal.

For the formation energy, the calculation gives -2.2 eV/f.u. The energy is -5.296 eV/atom. The value obtained for the total magnetization is 0.00 μB/f.u. Its polymorph energy (0 for the lowest one) is 12.8 kJ/mol of formula units.

a b c (Å): 3.9657 3.9657 6.7071
angles (deg): 90.00 90.00 90.00
Last column: nearest neighbours and their distance in Å.
Space group P4/mmm (No. 123)
Asymmetric unit:
Y 0.0000 0.0000 0.0000 x1  8 Sn 3.30, 2 Lu 3.35
Lu 0.0000 0.0000 0.5000 x1  8 Sn 3.24, 2 Y 3.35
Sn 0.5000 0.5000 0.2593 x2  2 Sn 3.23-3.48, 4 Lu 3.24, 4 Y 3.30

=====

Entry 10:
## YLu2Sn (PBE)

Data for a relaxed YLu2Sn crystal.

For the formation energy, the calculation gives -1.5 eV/f.u. The energy is -5.260 eV/atom. The value obtained for the total magnetization is 0.09 μB/f.u. Its polymorph energy (0 for the lowest one) is 0.0 kJ/mol of formula units.

a b c (Å): 4.7534 4.7534 4.7628
angles (deg): 90.00 90.00 90.00
Last column: nearest neighbours and their distance in Å.
Space group P4/mmm (No. 123)
Asymmetric unit:
Y 0.0000 0.0000 0.0000 x1  4 Sn 3.36, 8 Lu 3.36
Lu 0.0000 0.5000 0.5000 x2  4 Lu 3.36, 4 Sn 3.36, 4 Y 3.36
Sn 0.5000 0.5000 0.0000 x1  4 Y 3.36, 8 Lu 3.36

=====

Entry 11:
## YLuSn2 (PBE)

Data for a relaxed YLuSn2 crystal.

For the formation energy, the calculation gives -2.1 eV/f.u. The energy is -5.271 eV/atom. The value obtained for the total magnetization is 0.00 μB/f.u. Its polymorph energy (0 for the lowest one) is 22.8 kJ/mol of formula units.

a b c (Å): 7.5245 7.5245 7.5245
angles (deg): 90.00 90.00 90.00
Last column: nearest neighbours and their distance in Å.
Space group Fm-3m (No. 225)
Asymmetric unit:
Y 0.0000 0.0000 0.0000 x4  8 Sn 3.26
Lu 0.0000 0.0000 0.5000 x4  8 Sn 3.26
Sn 0.2500 0.2500 0.2500 x8  4 Lu 3.26, 4 Y 3.26

=====

Entry 12:
## YLu2Sn (PBE)

Data for a relaxed YLu2Sn crystal.

For the formation energy, the calculation gives 0.2 eV/f.u. The energy is -4.839 eV/atom. The value obtained for the total magnetization is 0.72 μB/f.u. Its polymorph energy (0 for the lowest one) is 162.6 kJ/mol of formula units.

a b c (Å): 3.4444 3.4444 34.7755
angles (deg): 90.00 90.00 120.00
Last column: nearest neighbours and their distance in Å.
Space group R-3m (No. 166, hexagonal axes)
Asymmetric unit:
Y 0.0000 0.0000 0.0000 x3  2 Lu 3.32, 6 Y 3.44
Lu 0.0000 0.0000 0.0954 x6  3 Sn 3.18, 1 Y 3.32, 6 Lu 3.44
Sn 0.0000 0.0000 0.5000 x3  6 Lu 3.18, 6 Sn 3.44

=====

Entry 13:
## YLu2Sn (PBE)

Data for a relaxed YLu2Sn crystal.

For the formation energy, the calculation gives -1.2 eV/f.u. The energy is -5.170 eV/atom. The value obtained for the total magnetization is 0.00 μB/f.u. Its polymorph energy (0 for the lowest one) is 34.9 kJ/mol of formula units.

a b c (Å): 3.6808 3.6808 8.4173
angles (deg): 90.00 90.00 90.00
Last column: nearest neighbours and their distance in Å.
Space group P4/mmm (No. 123)
Asymmetric unit:
Y 0.0000 0.0000 0.0000 x1  8 Lu 3.50, 4 Y 3.68
Lu 0.5000 0.5000 0.2785 x2  4 Sn 3.20, 4 Y 3.50
Sn 0.0000 0.0000 0.5000 x1  8 Lu 3.20

=====

Entry 14:
## YLuSn2 (PBE)

Data for a relaxed YLuSn2 crystal.

For the formation energy, the calculation gives -2.0 eV/f.u. The energy is -5.254 eV/atom. The value obtained for the total magnetization is 0.00 μB/f.u. Its polymorph energy (0 for the lowest one) is 29.1 kJ/mol of formula units.

a b c (Å): 3.7947 3.7947 26.8533
angles (deg): 90.00 90.00 120.00
Last column: nearest neighbours and their distance in Å.
Space group R-3m (No. 166, hexagonal axes)
Asymmetric unit:
Y 0.0000 0.0000 0.0000 x3  6 Sn 3.16
Lu 0.0000 0.0000 0.5000 x3  6 Sn 3.11
Sn 0.0000 0.0000 0.2486 x6  3 Lu 3.11, 3 Y 3.16

=====

Entry 15:
## YLuSn2 (PBE)

Data for a relaxed YLuSn2 crystal.

For the formation energy, the calculation gives -2.3 eV/f.u. The energy is -5.329 eV/atom. The value obtained for the total magnetization is 0.00 μB/f.u. Its polymorph energy (0 for the lowest one) is 0.0 kJ/mol of formula units.

a b c (Å): 4.8996 4.8996 4.3410
angles (deg): 90.00 90.00 90.00
Last column: nearest neighbours and their distance in Å.
Space group P4/mmm (No. 123)
Asymmetric unit:
Y 0.0000 0.0000 0.0000 x1  8 Sn 3.27, 4 Lu 3.46
Lu 0.5000 0.5000 0.0000 x1  8 Sn 3.27, 4 Y 3.46
Sn 0.0000 0.5000 0.5000 x2  4 Y 3.27, 4 Lu 3.27, 4 Sn 3.46